(1)
The following is a GGA-PBE calculation of a geometry-optimized Mg2HgIrRu structure, from Alexandria via LeMat-Bulk.

Cell lengths 4.9510, 4.9510, 4.7013 Å; angles 90.00, 90.00, 90.00 degrees
Last column: nearest neighbours and their distance in Å.
Element x y z (fractional)
1 Mg 0.0000 0.5000 0.0000  2 Ir 2.48
2 Mg 0.5000 0.0000 0.0000  2 Ir 2.48
3 Hg 0.0000 0.0000 0.5000  8 Mg 3.41, 4 Ru 3.50
4 Ir 0.5000 0.5000 0.0000  2 Ru 2.35, 4 Mg 2.48
5 Ru 0.5000 0.5000 0.5000  2 Ir 2.35



(2)
The following is a GGA-PBE calculation of a geometry-optimized MgScHgIr structure, from Alexandria via LeMat-Bulk.

Summary:
E above lowest polymorph, meV/atom: 108

Cell lengths 4.6925, 4.6925, 4.6925 Å; angles 60.00, 60.00, 60.00 degrees
Last column: nearest neighbours and their distance in Å.
Element x y z (fractional)
1 Mg 0.0000 0.0000 0.0000  4 Hg 2.87, 4 Ir 2.87
2 Sc 0.5000 0.5000 0.5000  4 Hg 2.87, 4 Ir 2.87
3 Hg 0.7500 0.7500 0.7500  4 Mg 2.87, 4 Sc 2.87
4 Ir 0.2500 0.2500 0.2500  4 Mg 2.87, 4 Sc 2.87



(3)
The following is a GGA-PBE calculation of a geometry-optimized MgSc2HgIr structure, from Alexandria via LeMat-Bulk.

Cell lengths 4.9861, 4.9861, 5.0717 Å; angles 90.00, 90.00, 90.00 degrees
Last column: nearest neighbours and their distance in Å.
Element x y z (fractional)
1 Mg 0.0000 0.0000 0.0000  2 Ir 2.54
2 Sc 0.0000 0.5000 0.5000  2 Ir 2.49
3 Sc 0.5000 0.0000 0.5000  2 Ir 2.49
4 Hg 0.5000 0.5000 0.0000  4 Mg 3.53, 8 Sc 3.56
5 Ir 0.0000 0.0000 0.5000  4 Sc 2.49, 2 Mg 2.54



The ΔE_f results, record by record, are as follows: 0.50; -0.45; -0.27 eV/atom.
The Fermi-level density of states results, record by record, are as follows: 0.781; 0.805; 0.494 states/eV/atom.